{"formula": "ZrReMo4", "functional": "GGA-PBE", "state": "optimized geometry", "cell": [[1.001, -4.885, -1.671], [2.310, -3.458, 3.219], [-2.751, -4.051, 1.918]], "species": ["Zr", "Re", "Mo", "Mo", "Mo", "Mo"], "frac_coords": [[0.000, 0.000, 0.000], [0.750, 0.750, 0.750], [0.876, 0.375, 0.375], [0.375, 0.375, 0.876], [0.375, 0.876, 0.375], [0.375, 0.375, 0.375]], "n_ef_per_ev_fu": 10.0, "magnetic_moment_mub_per_atom": 0.000, "e_tot_ev_per_atom": -10.537, "ef_kj_per_mol_fu": 106}